(1)
DFT (PBE) results for RbIn2BrCl2 after structural relaxation.

Cell and atoms, written as POSCAR:
```
RbIn2BrCl2
1.0
7.8939 0.0000 0.0000
0.0000 6.6803 0.0000
-0.2142 0.0000 8.7080
Rb In Br Cl
2 4 2 4
direct
0.2157 0.2500 0.0651
0.7843 0.7500 0.9349
0.2748 0.5009 0.5875
0.2748 0.9991 0.5875
0.7252 0.0009 0.4125
0.7252 0.4991 0.4125
0.4900 0.7500 0.2067
0.5100 0.2500 0.7933
0.0159 0.2500 0.6995
0.1909 0.7500 0.8378
0.8091 0.2500 0.1622
0.9841 0.7500 0.3005
```

Summary:
E = -0.2221 Ry/atom



(2)
DFT (PBE) results for Fe2NiPt2Rh after structural relaxation.

Cell and atoms, written as POSCAR:
```
Fe2NiPt2Rh
1.0
5.2268 0.0000 0.0000
0.0000 7.4541 0.0000
0.0000 0.0000 4.3102
Fe Ni Pt Rh
4 2 4 2
direct
0.2412 0.1707 0.0000
0.2588 0.6707 0.5000
0.7412 0.3293 0.5000
0.7588 0.8293 0.0000
0.0000 0.5000 0.0000
0.5000 0.0000 0.5000
0.2392 0.3375 0.5000
0.2608 0.8375 0.0000
0.7392 0.1625 0.0000
0.7608 0.6625 0.5000
0.0000 0.0000 0.5000
0.5000 0.5000 0.0000
```

Summary:
Energy of formation = -76.4 meV per atom
DOS at the Fermi energy = 11.4 states/eV/cell



| no. | volume (Å³/cell) |
| --- | --- |
| 1 | 459.2 |
| 2 | 167.9 |